Below is an optimized crystal structure of K4CdIn3, with properties calculated at the GGA-PBE level.

Cell: 5.695 5.695 8.201 Å, 90.00 90.00 90.00°
Atoms (fractional coordinates):
Cd (0.000, 0.000, 0.000)
In (0.500, 0.000, 0.253)
In (0.500, 0.500, 0.500)
In (0.000, 0.500, 0.747)
K (0.500, 0.500, 0.000)
K (0.000, 0.500, 0.247)
K (0.000, 0.000, 0.500)
K (0.500, 0.000, 0.753)

Summary:
The calculation puts the energy at -1.73 eV/atom. As for the density: 3.8 g/cm3. As for the crystal system: tetragonal.

---

Below is an optimized crystal structure of K4Cd2InPb, with properties calculated at the GGA-PBE level.

Cell: 5.670 5.670 8.113 Å, 90.00 90.00 90.00°
Atoms (fractional coordinates):
Cd (0.500, 0.000, 0.246)
Cd (0.000, 0.500, 0.754)
In (0.500, 0.500, 0.000)
K (0.000, 0.000, 0.000)
K (0.000, 0.500, 0.249)
K (0.500, 0.500, 0.500)
K (0.500, 0.000, 0.751)
Pb (0.000, 0.000, 0.500)

Summary:
The calculation puts the energy at -1.63 eV/atom. As for the density: 4.5 g/cm3. As for the crystal system: tetragonal.

---

Below is an optimized crystal structure of KCdInSn2, with properties calculated at the GGA-PBE level.

Cell: 7.246 7.246 7.246 Å, 140.26 140.26 57.46°
Atoms (fractional coordinates):
Cd (0.388, 0.388, 0.000)
In (0.610, 0.610, 0.000)
K (0.999, 0.999, 0.000)
Sn (0.751, 0.251, 0.500)
Sn (0.251, 0.751, 0.500)

Summary:
The calculation puts the energy at -2.71 eV/atom. As for the density: 5.4 g/cm3. As for the crystal system: tetragonal.

---

Below is an optimized crystal structure of La2NdMg3CdIn2, with properties calculated at the GGA-PBE level.

Cell: 4.815 7.762 7.762 Å, 119.81 90.00 90.00°
Atoms (fractional coordinates):
Cd (0.000, 0.997, 0.997)
In (0.500, 0.665, 0.336)
In (0.500, 0.336, 0.665)
La (0.000, 0.423, 0.001)
La (0.000, 0.001, 0.423)
Mg (0.500, 0.240, 0.240)
Mg (0.500, 0.999, 0.761)
Mg (0.500, 0.761, 0.999)
Nd (0.000, 0.579, 0.579)

Summary:
For the spin magnetization, the calculation gives 0.00 μB/f.u. The calculation puts the energy at -3.24 eV/atom. As for the density: 5.5 g/cm3. As for the crystal system: orthorhombic.